Crystalline CrNi2 at its relaxed geometry, computed with PBE. Values from VASP.

Quantum ESPRESSO input file:
```
&SYSTEM
  ibrav = 0, nat = 6, ntyp = 2
/
ATOMIC_SPECIES
Cr 52.00 Cr.upf
Ni 58.69 Ni.upf
ATOMIC_POSITIONS angstrom
Cr 0.2737 0.5903 0.8632
Cr 0.8212 1.7709 2.5895
Ni -0.7453 -0.0671 2.9895
Ni -2.6752 -1.7346 2.0346
Ni 2.2335 -0.1716 2.1163
Ni 0.3036 -1.8391 1.1614
CELL_PARAMETERS angstrom
4.3364 -0.2233 1.4848
-3.2415 2.5844 1.9678
-1.5366 -4.2673 0.6983
```



! ErCdGa2 | Alexandria via LeMat-Bulk | PBE | optimized geometry; values from VASP
&SYSTEM
  ibrav = 0, nat = 4, ntyp = 3
/
ATOMIC_SPECIES
Cd 112.41 Cd.upf
Ga 69.72 Ga.upf
Er 167.26 Er.upf
ATOMIC_POSITIONS angstrom
Cd -3.1527 -1.7467 2.4867
Ga -1.2657 -3.6760 3.7497
Ga -0.4467 -1.2972 1.3233
Er -2.2965 0.7399 -0.0498
CELL_PARAMETERS angstrom
-1.8168 2.3458 1.6865
-2.7763 -0.8660 -1.7861
-1.7123 -4.9733 5.0730
! **Energy above the lowest structure with this stoichiometry**: 0.190 eV/atom



Number 1: total DFT energy (no corrections) -6.73 eV/atom, ρ 7.94 g/cm3, ΔE_f 334 meV/atom. Number 2: total DFT energy (no corrections) -3.11 eV/atom, ρ 8.18 g/cm3, ΔE_f -223 meV/atom.